No. 1
The following is a PBE calculation of crystalline PmCdCu5 at its relaxed geometry, from the Alexandria database.

Cell lengths 8.352, 5.088, 10.556 Å; angles 90.00, 90.00, 90.00 degrees
Space group Pnma (No. 62)
Symmetry-distinct sites (fractional):
1 Pm 0.245 0.250 0.063 [4 per cell]
2 Cd 0.137 0.750 0.864 [4 per cell]
3 Cu 0.054 0.750 0.109 [4 per cell]
4 Cu 0.068 0.001 0.314 [8 per cell]
5 Cu 0.084 0.250 0.516 [4 per cell]
6 Cu 0.185 0.250 0.742 [4 per cell]

Values from the calculation:
V   448.5 Å³/cell
Magnetization   0.00 μB/cell
N(E_F)   3.20 states/eV/f.u.
Energy of formation from the pure elements   -1.26 eV per formula unit

***

No. 2
The following is a PBE calculation of crystalline NaAcNiAs2 at its relaxed geometry, from the Alexandria database.

Cell lengths 5.260, 6.748, 6.321 Å; angles 90.00, 90.00, 90.00 degrees
Space group Pmma (No. 51)
Symmetry-distinct sites (fractional):
1 Na 0.250 0.000 0.105 [2 per cell]
2 Ac 0.250 0.500 0.276 [2 per cell]
3 Ni 0.000 0.000 0.500 [2 per cell]
4 As 0.250 0.233 0.705 [4 per cell]

Values from the calculation:
V   224.4 Å³/cell
Magnetization   0.00 μB/cell
N(E_F)   2.20 states/eV/f.u.
Energy of formation from the pure elements   -3.01 eV per formula unit

***

No. 3
The following is a PBE calculation of crystalline Nd8Te4AsP3 at its relaxed geometry, from the Alexandria database.

Cell lengths 8.5613, 8.5613, 21.9929 Å; angles 90.00, 90.00, 120.00 degrees
Space group R-3m (No. 166, hexagonal axes)
Symmetry-distinct sites (fractional):
1 Nd 0.0000 0.0000 0.2377 [6 per cell]
2 Nd 0.0050 0.5025 0.7615 [18 per cell]
3 Te 0.0000 0.0000 0.0000 [3 per cell]
4 Te 0.0000 0.5000 0.0000 [9 per cell]
5 As 0.0000 0.0000 0.5000 [3 per cell]
6 P 0.0000 0.5000 0.5000 [9 per cell]

Values from the calculation:
V   1396.0 Å³/cell
Magnetization   0.00 μB/cell
N(E_F)   6.07 states/eV/f.u.
E_form (uncorrected)   -1565 meV per atom

***

> magnetization of number 3 (Nd8Te4AsP3)?

0.00 μB/cell

***

> Among the records above, which one has the highest N(E_F)?

Nd8Te4AsP3